1.
A geometry-optimized LaTb4Ho2 structure, computed with PBE.

```
data_LaTb4Ho2
_chemical_formula_sum 'La2 Tb8 Ho4'
_symmetry_space_group_name_H-M 'P 1'
_symmetry_Int_Tables_number 1
_cell_length_a 7.156
_cell_length_b 8.006
_cell_length_c 8.763
_cell_angle_alpha 68.58
_cell_angle_beta 89.86
_cell_angle_gamma 77.11
loop_
_symmetry_equiv_pos_as_xyz
'x,y,z'
loop_
_atom_site_label
_atom_site_fract_x
_atom_site_fract_y
_atom_site_fract_z
La1 0.000 0.000 0.000
La2 0.430 0.284 0.570
Tb1 0.072 0.714 0.427
Tb2 0.216 0.141 0.285
Tb3 0.288 0.851 0.714
Tb4 0.359 0.569 0.143
Tb5 0.643 0.429 0.858
Tb6 0.787 0.853 0.713
Tb7 0.859 0.567 0.143
Tb8 0.928 0.286 0.569
Ho1 0.143 0.431 0.856
Ho2 0.502 0.997 0.001
Ho3 0.572 0.716 0.426
Ho4 0.715 0.141 0.285
```

ΔE_f (eV/atom): 0.023



2.
A geometry-optimized LaHRh2Au structure, computed with PBE.

```
data_LaHRh2Au
_chemical_formula_sum 'La1 H1 Rh2 Au1'
_symmetry_space_group_name_H-M 'P 4/m m m'
_symmetry_Int_Tables_number 123
_symmetry_space_group_name_Hall '-P 4 2'
_cell_length_a 4.340
_cell_length_b 4.340
_cell_length_c 4.107
_cell_angle_alpha 90.00
_cell_angle_beta 90.00
_cell_angle_gamma 90.00
loop_
_atom_site_label
_atom_site_fract_x
_atom_site_fract_y
_atom_site_fract_z
La1 0.000 0.000 0.000
H1 0.500 0.500 0.500
Rh1 0.000 0.500 0.500
Au1 0.500 0.500 0.000
```



3.
A geometry-optimized ZrMn2Tc2 structure, computed with PBE.

```
data_ZrMn2Tc2
_chemical_formula_sum 'Zr2 Mn4 Tc4'
_symmetry_space_group_name_H-M 'P 4/m b m'
_symmetry_Int_Tables_number 127
_symmetry_space_group_name_Hall '-P 4 2ab'
_cell_length_a 7.276
_cell_length_b 7.276
_cell_length_c 2.770
_cell_angle_alpha 90.00
_cell_angle_beta 90.00
_cell_angle_gamma 90.00
loop_
_atom_site_label
_atom_site_fract_x
_atom_site_fract_y
_atom_site_fract_z
Zr1 0.000 0.000 0.000
Mn1 0.133 0.367 0.000
Tc1 0.161 0.661 0.500
```

ΔE_f (eV/atom): 0.069
Polymorph energy (0 for the lowest one) (eV/atom): 0.079



4.
A geometry-optimized ThMg2Zr structure, computed with PBE.

```
data_ThMg2Zr
_chemical_formula_sum 'Th4 Mg8 Zr4'
_symmetry_space_group_name_H-M 'F m -3 m'
_symmetry_Int_Tables_number 225
_symmetry_space_group_name_Hall '-F 4 2 3'
_cell_length_a 7.378
_cell_length_b 7.378
_cell_length_c 7.378
_cell_angle_alpha 90.00
_cell_angle_beta 90.00
_cell_angle_gamma 90.00
loop_
_atom_site_label
_atom_site_fract_x
_atom_site_fract_y
_atom_site_fract_z
Th1 0.000 0.000 0.000
Mg1 0.250 0.250 0.250
Zr1 0.000 0.000 0.500
```

ΔE_f (eV/atom): 0.125
Polymorph energy (0 for the lowest one) (eV/atom): 0.009



5.
A geometry-optimized SmHo2PbC structure, computed with PBE.

```
data_SmHo2PbC
_chemical_formula_sum 'Sm1 Ho2 Pb1 C1'
_symmetry_space_group_name_H-M 'P 4/m m m'
_symmetry_Int_Tables_number 123
_symmetry_space_group_name_Hall '-P 4 2'
_cell_length_a 4.898
_cell_length_b 4.898
_cell_length_c 5.056
_cell_angle_alpha 90.00
_cell_angle_beta 90.00
_cell_angle_gamma 90.00
loop_
_atom_site_label
_atom_site_fract_x
_atom_site_fract_y
_atom_site_fract_z
Sm1 0.000 0.000 0.000
Ho1 0.000 0.500 0.500
Pb1 0.500 0.500 0.000
C1 0.000 0.000 0.500
```

ΔE_f (eV/atom): -0.515



6.
A geometry-optimized CsGe4I8 structure, computed with PBE.

```
data_CsGe4I8
_chemical_formula_sum 'Cs3 Ge12 I24'
_symmetry_space_group_name_H-M 'R -3 m'
_symmetry_Int_Tables_number 166
_symmetry_space_group_name_Hall '-R 3 2"'
_cell_length_a 8.9750
_cell_length_b 8.9750
_cell_length_c 27.5265
_cell_angle_alpha 90.00
_cell_angle_beta 90.00
_cell_angle_gamma 120.00
loop_
_atom_site_label
_atom_site_fract_x
_atom_site_fract_y
_atom_site_fract_z
Cs1 0.0000 0.0000 0.0000
Ge1 0.0000 0.0000 0.5000
Ge2 0.0000 0.5000 0.5000
I1 0.0000 0.0000 0.2262
I2 0.0018 0.5009 0.2264
```

Polymorph energy (0 for the lowest one) (eV/atom): 0.000
Formation energy without anion corrections (eV/atom): -0.39



7.
A geometry-optimized BeInSn3 structure, computed with PBE.

```
data_BeInSn3
_chemical_formula_sum 'Be1 In1 Sn3'
_symmetry_space_group_name_H-M 'P m -3 m'
_symmetry_Int_Tables_number 221
_symmetry_space_group_name_Hall '-P 4 2 3'
_cell_length_a 5.029
_cell_length_b 5.029
_cell_length_c 5.029
_cell_angle_alpha 90.00
_cell_angle_beta 90.00
_cell_angle_gamma 90.00
loop_
_atom_site_label
_atom_site_fract_x
_atom_site_fract_y
_atom_site_fract_z
Be1 0.000 0.000 0.000
In1 0.500 0.500 0.500
Sn1 0.000 0.000 0.500
```

ΔE_f (eV/atom): 0.305
Polymorph energy (0 for the lowest one) (eV/atom): 0.000



8.
A geometry-optimized Ca2LaMn structure, computed with PBE.

```
data_Ca2LaMn
_chemical_formula_sum 'Ca2 La1 Mn1'
_symmetry_space_group_name_H-M 'P 4/m m m'
_symmetry_Int_Tables_number 123
_symmetry_space_group_name_Hall '-P 4 2'
_cell_length_a 4.787
_cell_length_b 4.787
_cell_length_c 5.558
_cell_angle_alpha 90.00
_cell_angle_beta 90.00
_cell_angle_gamma 90.00
loop_
_atom_site_label
_atom_site_fract_x
_atom_site_fract_y
_atom_site_fract_z
Ca1 0.000 0.500 0.000
La1 0.000 0.000 0.500
Mn1 0.500 0.500 0.500
```

ΔE_f (eV/atom): 0.358
Polymorph energy (0 for the lowest one) (eV/atom): 0.165



Total energy / eV/atom: -4.635; -5.644; -9.455; -4.664; -5.876; -2.826; -3.390; -4.167